CaZrAlCl2 | GGA-PBE | relaxed

* energy relative to the elements, uncorrected: -0.263 eV/atom

Lattice parameters (Å, degrees): 4.938 4.938 7.072 90.00 90.00 90.00
Space group P4/mmm (No. 123)
Unique sites:
Ca 0.000 0.000 0.000
Zr 0.000 0.000 0.500
Al 0.500 0.500 0.000
Cl 0.000 0.500 0.500